# 1
The following is a GGA-PBE calculation of a relaxed BeTe crystal, from Alexandria via LeMat-Bulk.

a = 8.096 Å, b = 8.096 Å, c = 8.096 Å
α = 28.37°, β = 28.37°, γ = 28.37°
Sites, in units of the cell vectors:
Be: 0.868 0.868 0.868
Be: 0.132 0.132 0.132
Te: 0.760 0.760 0.760
Te: 0.240 0.240 0.240

## Properties
Size of the total moment   0.0 μB per formula unit
Symmetry   R-3m (166)
Density of states at the Fermi level   0.00 states/eV per cell
Energy relative to the elements, uncorrected   -0.285 eV/atom

***

# 2
The following is a GGA-PBE calculation of a relaxed Be8Te crystal, from Alexandria via LeMat-Bulk.

a = 5.580 Å, b = 5.580 Å, c = 5.580 Å
α = 95.57°, β = 95.57°, γ = 143.71°
Sites, in units of the cell vectors:
Be: 0.307 0.693 0.000
Be: 0.693 0.307 0.000
Be: 0.000 0.355 0.355
Be: 0.693 0.693 0.386
Be: 0.355 0.000 0.355
Be: 0.307 0.307 0.614
Be: 0.000 0.645 0.645
Be: 0.645 0.000 0.645
Te: 0.000 0.000 0.000

## Properties
Size of the total moment   0.0 μB per formula unit
Symmetry   I4/mmm (139)
Density of states at the Fermi level   2.64 states/eV per cell
Energy relative to the elements, uncorrected   0.488 eV/atom

***

# 3
The following is a GGA-PBE calculation of a relaxed BeTe crystal, from Alexandria via LeMat-Bulk.

a = 3.853 Å, b = 3.853 Å, c = 6.018 Å
α = 90.00°, β = 90.00°, γ = 120.00°
Sites, in units of the cell vectors:
Be: 0.000 0.000 0.000
Be: 0.000 0.000 0.500
Te: 0.333 0.667 0.250
Te: 0.667 0.333 0.750

## Properties
Size of the total moment   0.0 μB per formula unit
Symmetry   P6_3/mmc (194)
Density of states at the Fermi level   0.56 states/eV per cell
Energy relative to the elements, uncorrected   0.120 eV/atom